Pm2CoAuC: optimized geometry, GGA-PBE.

Computed properties:
The calculation puts the volume at 19.75 Å³/atom. The energy of formation is -0.4748 eV per atom. The calculated density is 9.4 g/cm³. The value obtained for the total energy is -6.296 eV/atom. The calculation puts the total magnetic moment at 0.0 μB per cell.

a b c (Å): 3.6505 5.2012 5.2012
angles (deg): 90.00 90.00 90.00
Last column: nearest neighbours and their distance in Å.
Sites, in units of the cell vectors:
Pm  0.0000  0.5000  0.0000  2 C 2.60
Pm  0.0000  0.0000  0.5000  2 C 2.60
C  0.0000  0.0000  0.0000  2 Co 1.83
Au  0.5000  0.5000  0.5000  8 Pm 3.18
Co  0.5000  0.0000  0.0000  2 C 1.83